1.
# Tl2Ag3P3O12, relaxed, DFT PBEsol
# Fermi-level density of states = 7.88 states/eV per cell
# Raw total energy = -0.452 Ry/atom
# SG = C2/c, No. 15
data_Tl2Ag3P3O12
_symmetry_space_group_name_H-M 'P 1'
_symmetry_Int_Tables_number 1
_cell_length_a 9.1490
_cell_length_b 9.1490
_cell_length_c 6.7446
_cell_angle_alpha 107.25
_cell_angle_beta 107.25
_cell_angle_gamma 91.07
loop_
_symmetry_equiv_pos_as_xyz
'x,y,z'
loop_
_atom_site_label
_atom_site_type_symbol
_atom_site_fract_x
_atom_site_fract_y
_atom_site_fract_z
Tl1 Tl 0.0714 0.3800 0.1576
Tl2 Tl 0.3800 0.0714 0.6576
Tl3 Tl 0.6200 0.9286 0.3424
Tl4 Tl 0.9286 0.6200 0.8424
Ag1 Ag 0.0092 0.9908 0.2500
Ag2 Ag 0.2955 0.7045 0.7500
Ag3 Ag 0.5000 0.5000 0.0000
Ag4 Ag 0.5000 0.5000 0.5000
Ag5 Ag 0.7045 0.2955 0.2500
Ag6 Ag 0.9908 0.0092 0.7500
P1 P 0.1262 0.3325 0.6302
P2 P 0.2817 0.7183 0.2500
P3 P 0.3325 0.1262 0.1302
P4 P 0.6675 0.8738 0.8698
P5 P 0.7183 0.2817 0.7500
P6 P 0.8738 0.6675 0.3698
O1 O 0.0009 0.6708 0.5853
O2 O 0.0566 0.3998 0.8191
O3 O 0.1485 0.1591 0.6170
O4 O 0.1591 0.1485 0.1170
O5 O 0.1664 0.7379 0.0419
O6 O 0.2621 0.8336 0.4581
O7 O 0.2690 0.5533 0.2728
O8 O 0.2777 0.4232 0.6632
O9 O 0.3292 0.9991 0.9147
O10 O 0.3998 0.0566 0.3191
O11 O 0.4232 0.2777 0.1632
O12 O 0.4467 0.7310 0.2272
O13 O 0.5533 0.2690 0.7728
O14 O 0.5768 0.7223 0.8368
O15 O 0.6002 0.9434 0.6809
O16 O 0.6708 0.0009 0.0853
O17 O 0.7223 0.5768 0.3368
O18 O 0.7310 0.4467 0.7272
O19 O 0.7379 0.1664 0.5419
O20 O 0.8336 0.2621 0.9581
O21 O 0.8409 0.8515 0.8830
O22 O 0.8515 0.8409 0.3830
O23 O 0.9434 0.6002 0.1809
O24 O 0.9991 0.3292 0.4147

2.
# VAg2PO6, relaxed, DFT PBEsol
# Raw total energy = -0.512 Ry/atom
# SG = C2/m, No. 12
data_VAg2PO6
_symmetry_space_group_name_H-M 'P 1'
_symmetry_Int_Tables_number 1
_cell_length_a 7.0010
_cell_length_b 7.0010
_cell_length_c 6.2203
_cell_angle_alpha 91.83
_cell_angle_beta 91.83
_cell_angle_gamma 53.00
loop_
_symmetry_equiv_pos_as_xyz
'x,y,z'
loop_
_atom_site_label
_atom_site_type_symbol
_atom_site_fract_x
_atom_site_fract_y
_atom_site_fract_z
V1 V 0.1090 0.1090 0.4076
V2 V 0.8910 0.8910 0.5924
Ag1 Ag 0.1149 0.6067 0.1167
Ag2 Ag 0.3933 0.8851 0.8833
Ag3 Ag 0.6067 0.1149 0.1167
Ag4 Ag 0.8851 0.3933 0.8833
P1 P 0.3489 0.3489 0.6535
P2 P 0.6511 0.6511 0.3465
O1 O 0.0159 0.0159 0.7072
O2 O 0.1849 0.5817 0.5243
O3 O 0.1888 0.1888 0.2025
O4 O 0.2249 0.2249 0.6709
O5 O 0.4031 0.4031 0.8791
O6 O 0.4183 0.8151 0.4757
O7 O 0.5817 0.1849 0.5243
O8 O 0.5969 0.5969 0.1209
O9 O 0.7751 0.7751 0.3291
O10 O 0.8112 0.8112 0.7975
O11 O 0.8151 0.4183 0.4757
O12 O 0.9841 0.9841 0.2928

3.
# YAgPO2, relaxed, DFT PBEsol
# Fermi-level density of states = 2.52 states/eV per cell
# Raw total energy = -0.428 Ry/atom
# SG = P4/mmm, No. 123
data_YAgPO2
_symmetry_space_group_name_H-M 'P 1'
_symmetry_Int_Tables_number 1
_cell_length_a 4.0797
_cell_length_b 4.0797
_cell_length_c 4.6169
_cell_angle_alpha 90.00
_cell_angle_beta 90.00
_cell_angle_gamma 90.00
loop_
_symmetry_equiv_pos_as_xyz
'x,y,z'
loop_
_atom_site_label
_atom_site_type_symbol
_atom_site_fract_x
_atom_site_fract_y
_atom_site_fract_z
Y1 Y 0.0000 0.0000 0.0000
Ag1 Ag 0.5000 0.5000 0.5000
P1 P 0.5000 0.5000 0.0000
O1 O 0.0000 0.5000 0.5000
O2 O 0.5000 0.0000 0.5000

4.
# ZnAg3P3O13, relaxed, DFT PBEsol
# Fermi-level density of states = 10.02 states/eV per cell
# Raw total energy = -0.448 Ry/atom
# SG = P2_1/m, No. 11
data_ZnAg3P3O13
_symmetry_space_group_name_H-M 'P 1'
_symmetry_Int_Tables_number 1
_cell_length_a 7.7560
_cell_length_b 6.4363
_cell_length_c 10.3744
_cell_angle_alpha 90.00
_cell_angle_beta 102.40
_cell_angle_gamma 90.00
loop_
_symmetry_equiv_pos_as_xyz
'x,y,z'
loop_
_atom_site_label
_atom_site_type_symbol
_atom_site_fract_x
_atom_site_fract_y
_atom_site_fract_z
Zn1 Zn 0.0540 0.2500 0.2242
Zn2 Zn 0.9460 0.7500 0.7758
Ag1 Ag 0.2223 0.2500 0.7396
Ag2 Ag 0.2289 0.7500 0.3890
Ag3 Ag 0.5000 0.0000 0.0000
Ag4 Ag 0.5000 0.5000 0.0000
Ag5 Ag 0.7711 0.2500 0.6110
Ag6 Ag 0.7777 0.7500 0.2604
P1 P 0.1784 0.7500 0.0740
P2 P 0.2517 0.2500 0.4757
P3 P 0.2901 0.7500 0.7149
P4 P 0.7099 0.2500 0.2851
P5 P 0.7483 0.7500 0.5243
P6 P 0.8216 0.2500 0.9260
O1 O 0.0195 0.7500 0.9591
O2 O 0.0941 0.2500 0.5495
O3 O 0.0942 0.7500 0.1990
O4 O 0.1639 0.5671 0.7347
O5 O 0.1639 0.9329 0.7347
O6 O 0.2181 0.0701 0.3691
O7 O 0.2181 0.4299 0.3691
O8 O 0.2933 0.5516 0.0840
O9 O 0.2933 0.9484 0.0840
O10 O 0.3456 0.7500 0.5810
O11 O 0.3591 0.2500 0.9229
O12 O 0.4196 0.2500 0.5793
O13 O 0.4606 0.7500 0.8179
O14 O 0.5394 0.2500 0.1821
O15 O 0.5804 0.7500 0.4207
O16 O 0.6409 0.7500 0.0771
O17 O 0.6544 0.2500 0.4190
O18 O 0.7067 0.0516 0.9160
O19 O 0.7067 0.4484 0.9160
O20 O 0.7819 0.5701 0.6309
O21 O 0.7819 0.9299 0.6309
O22 O 0.8361 0.0671 0.2653
O23 O 0.8361 0.4329 0.2653
O24 O 0.9058 0.2500 0.8010
O25 O 0.9059 0.7500 0.4505
O26 O 0.9805 0.2500 0.0409

5.
# ZnAg2P2O7, relaxed, DFT PBEsol
# Fermi-level density of states = 0.00 states/eV per cell
# Raw total energy = -0.460 Ry/atom
# SG = P4_2/mnm, No. 136
data_ZnAg2P2O7
_symmetry_space_group_name_H-M 'P 1'
_symmetry_Int_Tables_number 1
_cell_length_a 7.7754
_cell_length_b 7.7754
_cell_length_c 10.2856
_cell_angle_alpha 90.00
_cell_angle_beta 90.00
_cell_angle_gamma 90.00
loop_
_symmetry_equiv_pos_as_xyz
'x,y,z'
loop_
_atom_site_label
_atom_site_type_symbol
_atom_site_fract_x
_atom_site_fract_y
_atom_site_fract_z
Zn1 Zn 0.0000 0.5000 0.2500
Zn2 Zn 0.0000 0.5000 0.7500
Zn3 Zn 0.5000 0.0000 0.2500
Zn4 Zn 0.5000 0.0000 0.7500
Ag1 Ag 0.1354 0.1354 0.0000
Ag2 Ag 0.2002 0.2002 0.5000
Ag3 Ag 0.2998 0.7002 0.0000
Ag4 Ag 0.3646 0.6354 0.5000
Ag5 Ag 0.6354 0.3646 0.5000
Ag6 Ag 0.7002 0.2998 0.0000
Ag7 Ag 0.7998 0.7998 0.5000
Ag8 Ag 0.8646 0.8646 0.0000
P1 P 0.1387 0.8613 0.2915
P2 P 0.1387 0.8613 0.7085
P3 P 0.3613 0.3613 0.2085
P4 P 0.3613 0.3613 0.7915
P5 P 0.6387 0.6387 0.2085
P6 P 0.6387 0.6387 0.7915
P7 P 0.8613 0.1387 0.2915
P8 P 0.8613 0.1387 0.7085
O1 O 0.0000 0.0000 0.3470
O2 O 0.0000 0.0000 0.6530
O3 O 0.0804 0.6917 0.3544
O4 O 0.0804 0.6917 0.6456
O5 O 0.1354 0.8646 0.1438
O6 O 0.1354 0.8646 0.8562
O7 O 0.1917 0.4196 0.1456
O8 O 0.1917 0.4196 0.8544
O9 O 0.3083 0.9196 0.3544
O10 O 0.3083 0.9196 0.6456
O11 O 0.3646 0.3646 0.3562
O12 O 0.3646 0.3646 0.6438
O13 O 0.4196 0.1917 0.1456
O14 O 0.4196 0.1917 0.8544
O15 O 0.5000 0.5000 0.1530
O16 O 0.5000 0.5000 0.8470
O17 O 0.5804 0.8083 0.1456
O18 O 0.5804 0.8083 0.8544
O19 O 0.6354 0.6354 0.3562
O20 O 0.6354 0.6354 0.6438
O21 O 0.6917 0.0804 0.3544
O22 O 0.6917 0.0804 0.6456
O23 O 0.8083 0.5804 0.1456
O24 O 0.8083 0.5804 0.8544
O25 O 0.8646 0.1354 0.1438
O26 O 0.8646 0.1354 0.8562
O27 O 0.9196 0.3083 0.3544
O28 O 0.9196 0.3083 0.6456

6.
# AgPbO2, relaxed, DFT PBEsol
# Fermi-level density of states = 0.32 states/eV per cell
# Raw total energy = -0.371 Ry/atom
# SG = P2/m, No. 10
data_AgPbO2
_symmetry_space_group_name_H-M 'P 1'
_symmetry_Int_Tables_number 1
_cell_length_a 6.3811
_cell_length_b 3.4945
_cell_length_c 6.7083
_cell_angle_alpha 90.00
_cell_angle_beta 110.79
_cell_angle_gamma 90.00
loop_
_symmetry_equiv_pos_as_xyz
'x,y,z'
loop_
_atom_site_label
_atom_site_type_symbol
_atom_site_fract_x
_atom_site_fract_y
_atom_site_fract_z
Ag1 Ag 0.0000 0.0000 0.0000
Ag2 Ag 0.5000 0.5000 0.0000
Pb1 Pb 0.0000 0.5000 0.5000
Pb2 Pb 0.5000 0.0000 0.5000
O1 O 0.0799 0.0000 0.3225
O2 O 0.3557 0.5000 0.6776
O3 O 0.6443 0.5000 0.3224
O4 O 0.9201 0.0000 0.6775